# Li6Ag3Ge (GGA-PBE, relaxed)
# **DFT formation energy**: -0.24 eV per atom
# **E_tot**: -2.704 eV per atom
# **DOS(E_F)**: 5.34 states/eV/cell
# **Total magnetization**: 0.000 μB per atom
data_Li6Ag3Ge
_chemical_formula_sum 'Li12 Ag6 Ge2'
_cell_length_a 7.438
_cell_length_b 4.629
_cell_length_c 9.960
_cell_angle_alpha 90.00
_cell_angle_beta 110.37
_cell_angle_gamma 90.00
_symmetry_space_group_name_H-M 'P 1 21/m 1'
_symmetry_Int_Tables_number 11
loop_
_symmetry_equiv_pos_as_xyz
'x,y,z'
'-x,-y,-z'
'-x,y+1/2,-z'
'x,-y+1/2,z'
loop_
_atom_site_label
_atom_site_type_symbol
_atom_site_fract_x
_atom_site_fract_y
_atom_site_fract_z
Li1 Li 0.082 0.250 0.225
Li2 Li 0.098 0.750 0.574
Li3 Li 0.285 0.250 0.022
Li4 Li 0.293 0.750 0.864
Li5 Li 0.298 0.750 0.369
Li6 Li 0.311 0.250 0.547
Ag1 Ag 0.104 0.750 0.083
Ag2 Ag 0.484 0.250 0.331
Ag3 Ag 0.490 0.250 0.837
Ge1 Ge 0.091 0.250 0.721



# CeEr2Th3Se6 (GGA-PBE, relaxed)
# **E_tot**: -6.488 eV per atom
# **DOS(E_F)**: 23.42 states/eV/cell
# **Energy relative to the elements, uncorrected**: -1.636 eV per atom
# **Total magnetization**: 0.057 μB per atom
data_CeEr2Th3Se6
_chemical_formula_sum 'Ce2 Er4 Th6 Se12'
_cell_length_a 7.045
_cell_length_b 12.179
_cell_length_c 7.428
_cell_angle_alpha 90.00
_cell_angle_beta 108.37
_cell_angle_gamma 90.00
_symmetry_space_group_name_H-M 'C 1 2/m 1'
_symmetry_Int_Tables_number 12
loop_
_symmetry_equiv_pos_as_xyz
'x,y,z'
'-x,-y,-z'
'-x,y,-z'
'x,-y,z'
'x+1/2,y+1/2,z'
'-x+1/2,-y+1/2,-z'
'-x+1/2,y+1/2,-z'
'x+1/2,-y+1/2,z'
loop_
_atom_site_label
_atom_site_type_symbol
_atom_site_fract_x
_atom_site_fract_y
_atom_site_fract_z
Ce1 Ce 0.000 0.000 0.000
Er1 Er 0.000 0.333 0.000
Th1 Th 0.000 0.163 0.500
Th2 Th 0.000 0.500 0.500
Se1 Se 0.235 0.500 0.232
Se2 Se 0.250 0.171 0.237



# ScTcP2 (GGA-PBE, relaxed)
# **DFT formation energy**: -0.11 eV per atom
# **E_tot**: -6.985 eV per atom
# **DOS(E_F)**: 4.03 states/eV/cell
# **ΔE to the lowest computed polymorph**: 739 meV/atom
# **Total magnetization**: 0.000 μB per atom
data_ScTcP2
_chemical_formula_sum 'Sc4 Tc4 P8'
_cell_length_a 6.200
_cell_length_b 6.200
_cell_length_c 6.200
_cell_angle_alpha 90.00
_cell_angle_beta 90.00
_cell_angle_gamma 90.00
_symmetry_space_group_name_H-M 'F -4 3 m'
_symmetry_Int_Tables_number 216
_symmetry_space_group_name_Hall 'F -4 2 3'
loop_
_atom_site_label
_atom_site_type_symbol
_atom_site_fract_x
_atom_site_fract_y
_atom_site_fract_z
Sc1 Sc 0.000 0.000 0.000
Tc1 Tc 0.250 0.250 0.750
P1 P 0.000 0.000 0.500
P2 P 0.250 0.250 0.250



# CsSb2F11 (GGA-PBE, relaxed)
# **E_tot**: -4.459 eV per atom
# **DOS(E_F)**: 0.00 states/eV/cell
# **ΔE to the lowest computed polymorph**: 123 meV/atom
# **Energy relative to the elements, uncorrected**: -2.339 eV per atom
# **Total magnetization**: 0.000 μB per atom
data_CsSb2F11
_chemical_formula_sum 'Cs4 Sb8 F44'
_cell_length_a 8.578
_cell_length_b 11.266
_cell_length_c 12.250
_cell_angle_alpha 90.00
_cell_angle_beta 90.00
_cell_angle_gamma 90.00
_symmetry_space_group_name_H-M 'I b a m'
_symmetry_Int_Tables_number 72
_symmetry_space_group_name_Hall '-I 2 2c'
loop_
_atom_site_label
_atom_site_type_symbol
_atom_site_fract_x
_atom_site_fract_y
_atom_site_fract_z
Cs1 Cs 0.000 0.000 0.250
Sb1 Sb 0.094 0.326 0.000
F1 F 0.000 0.500 0.000
F2 F 0.090 0.203 0.108
F3 F 0.129 0.310 0.500
F4 F 0.219 0.403 0.108